Below is a relaxed NiBiO3 crystal, with properties calculated at the PBE+U level.

Properties
VASP energy   -51.7 eV per cell
Density of states at the Fermi level   0.2359 states/eV/atom

Lattice parameters (Å, degrees): 5.730 5.489 3.866 90.00 90.60 90.00
Positions (direct):
Ni1 0.000 0.000 0.000
Ni2 0.500 0.500 0.000
Bi1 0.080 0.500 0.477
Bi2 0.580 0.000 0.477
O1 0.221 0.270 0.008
O2 0.221 0.730 0.008
O3 0.468 0.500 0.501
O4 0.721 0.230 0.008
O5 0.721 0.770 0.008
O6 0.968 0.000 0.501